A plane-wave DFT calculation with PBE was carried out for LiHf3Co8 after structural relaxation.

Properties
VASP energy in eV/f.u.: -92.0

a = 4.8224 Å, b = 4.8224 Å, c = 23.5816 Å
α = 90.00°, β = 90.00°, γ = 120.00°
Space group R3m (No. 160, hexagonal axes)
Symmetry-distinct sites (fractional):
Li  0.0000  0.0000  0.0000
Hf  0.0000  0.0000  0.1202
Hf  0.0000  0.0000  0.5044
Hf  0.0000  0.0000  0.6336
Co  0.0000  0.0000  0.3160
Co  0.0000  0.0000  0.8153
Co  0.9998  0.4999  0.5656
Co  0.0025  0.5012  0.0656